Record 1
8
Lattice="7.478 0.000 0.000 0.000 7.478 0.000 3.739 3.739 2.812" Properties=species:S:1:pos:R:3 comment="ZrNb2Tc | Alexandria | PBE | relaxed" relative_energy_ev_per_atom=0.5749 vol_a3_per_atom=19.655 formation_enthalpy_0k_ev_per_atom=0.3556 pbc="T T T"
Nb 1.594 5.609 0.703
Nb 9.348 9.623 2.109
Nb 5.609 5.333 2.109
Nb 5.884 1.870 0.703
Tc 0.000 0.000 0.000
Tc 7.478 3.739 1.406
Zr 3.739 3.739 0.000
Zr 3.739 7.478 1.406


Record 2
4
Lattice="-3.273 3.479 -2.994 -2.285 -2.452 4.533 5.520 1.135 0.170" Properties=species:S:1:pos:R:3 comment="MgTa3 | Alexandria | PBE | relaxed" relative_energy_ev_per_atom=0.0871 vol_a3_per_atom=18.466 formation_enthalpy_0k_ev_per_atom=0.2231 pbc="T T T"
Ta 1.617 -0.658 2.352
Ta -2.779 0.514 0.770
Ta 1.123 2.307 -1.412
Mg 0.000 0.000 0.000


Record 3
12
Lattice="5.944 -0.568 0.000 -2.068 5.602 0.000 -1.938 -2.517 4.674" Properties=species:S:1:pos:R:3 comment="TaZnH | Alexandria | PBE | relaxed" relative_energy_ev_per_atom=0.2454 vol_a3_per_atom=12.511 pbc="T T T"
Ta -0.002 -2.354 4.568
Ta -0.337 1.913 0.105
Ta 0.901 2.964 2.442
Ta 0.697 -0.888 2.232
H 2.382 -1.007 3.294
H 0.356 4.562 1.380
H -0.591 -0.723 3.716
H 1.390 1.761 0.957
Zn 2.007 0.874 3.978
Zn 3.305 1.879 1.641
Zn 2.271 4.680 0.696
Zn -0.965 1.159 3.033


Record 4
4
Lattice="4.727 0.000 0.000 0.000 4.688 0.000 0.000 0.000 4.688" Properties=species:S:1:pos:R:3 comment="Pu2PaPb | Alexandria | PBE | relaxed" relative_energy_ev_per_atom=0.0000 vol_a3_per_atom=25.964 formation_enthalpy_0k_ev_per_atom=0.0006 pbc="T T T"
Pu 0.000 0.000 2.344
Pu 0.000 2.344 0.000
Pa 2.363 2.344 2.344
Pb 2.363 0.000 0.000